A plane-wave DFT calculation with GGA-PBEsol was carried out for crystalline CaTeRh at its relaxed geometry.

Cell lengths 4.395, 4.395, 4.095 Å; angles 90.00, 90.00, 120.00 degrees
Positions (direct):
Ca 0.000 0.000 0.000
Te 0.667 0.333 0.500
Rh 0.333 0.667 0.500

Summary:
Its uncorrected formation energy is -0.83 eV/atom. For the uncorrected energy, the calculation gives -16.30 eV/cell. The space group is P-6m2.